Record 1
DFT (GGA-PBE) results for a geometry-optimized Pm5Tl2Sn2 structure.

The structure belongs to space group Ima2 (No. 46); the cell edges are 17.7333, 9.7991 and 6.3270 Å and the angles 90.00°, 90.00° and 90.00°. The asymmetric unit holds Pm at (0.0753, 0.2505, 0.0000), Pm at (0.1535, 0.6459, 0.2498), Pm at (0.2500, 0.0177, 0.2496), Tl at (0.0000, 0.0000, 0.7512), Tl at (0.2500, 0.1525, 0.7498) and Sn at (0.0762, 0.5639, 0.7495).

Record 2
DFT (GGA-PBE) results for a geometry-optimized Pm6TlSn5 structure.

The structure belongs to space group C2/m (No. 12); the cell edges are 10.2694, 15.1302 and 4.9941 Å and the angles 90.00°, 119.02° and 90.00°. The asymmetric unit holds Pm at (0.2465, 0.0000, 0.2466), Pm at (0.2486, 0.1678, 0.7487), Tl at (0.0000, 0.5000, 0.0000), Sn at (0.0000, 0.0000, 0.5000), Sn at (0.0000, 0.1680, 0.0000) and Sn at (0.0000, 0.3360, 0.5000).

Record 3
DFT (GGA-PBE) results for a geometry-optimized Pm10Tl3Sn3 structure.

The structure belongs to space group P-62m (No. 189); the cell edges are 9.2287, 9.2287 and 6.8717 Å and the angles 90.00°, 90.00° and 120.00°. The asymmetric unit holds Pm at (0.0000, 0.2405, 0.0000), Pm at (0.0000, 0.7626, 0.5000), Pm at (0.3333, 0.6667, 0.2495), Tl at (0.0000, 0.4004, 0.5000) and Sn at (0.0000, 0.6048, 0.0000).

Record 4
DFT (GGA-PBE) results for a geometry-optimized Pm12Tl6Sn structure.

The structure belongs to space group R-3 (No. 148, hexagonal axes); the cell edges are 14.6665, 14.6665 and 9.8162 Å and the angles 90.00°, 90.00° and 120.00°. The asymmetric unit holds Pm at (0.0531, 0.1865, 0.2609), Pm at (0.0541, 0.2591, 0.9177), Tl at (0.0672, 0.2424, 0.5760) and Sn at (0.0000, 0.0000, 0.0000).

Record 5
DFT (GGA-PBE) results for a geometry-optimized Pm5TlSn3 structure.

The structure belongs to space group P6_3/mcm (No. 193); the cell edges are 9.5791, 9.5791 and 6.7050 Å and the angles 90.00°, 90.00° and 120.00°. The asymmetric unit holds Pm at (0.0000, 0.2818, 0.2500), Pm at (0.3333, 0.6667, 0.0000), Tl at (0.0000, 0.0000, 0.0000) and Sn at (0.0000, 0.3752, 0.7500).

Record 6
DFT (GGA-PBE) results for a geometry-optimized Pm4Tl3Sn structure.

The structure belongs to space group Pmm2 (No. 25); the cell edges are 4.4429, 4.6799 and 11.7948 Å and the angles 90.00°, 90.00° and 90.00°. The asymmetric unit holds Pm at (0.0000, 0.0000, 0.0000), Pm at (0.0000, 0.5000, 0.4962), Pm at (0.5000, 0.0000, 0.7273), Pm at (0.5000, 0.5000, 0.2264), Tl at (0.0000, 0.5000, 0.7709), Tl at (0.5000, 0.0000, 0.4529), Tl at (0.5000, 0.5000, 0.9530) and Sn at (0.0000, 0.0000, 0.2761).

Record 7
DFT (GGA-PBE) results for a geometry-optimized Pm4Tl3Sn2 structure.

The structure belongs to space group C2/m (No. 12); the cell edges are 8.8850, 5.1848 and 11.5888 Å and the angles 90.00°, 90.57° and 90.00°. The asymmetric unit holds Pm at (0.0005, 0.0000, 0.1633), Pm at (0.1659, 0.5000, 0.6162), Tl at (0.0000, 0.0000, 0.5000), Tl at (0.1666, 0.5000, 0.9540) and Sn at (0.1683, 0.5000, 0.2925).

Record 8
DFT (GGA-PBE) results for a geometry-optimized Pm6Tl2Sn3 structure.

The structure belongs to space group I4/mmm (No. 139); the cell edges are 5.9665, 5.9665 and 21.7245 Å and the angles 90.00°, 90.00° and 90.00°. The asymmetric unit holds Pm at (0.0000, 0.0000, 0.2051), Pm at (0.0000, 0.5000, 0.0855), Tl at (0.0000, 0.0000, 0.0666), Sn at (0.0000, 0.0000, 0.3469) and Sn at (0.0000, 0.0000, 0.5000).

Number 1: DFT formation energy -0.423 eV per atom. Number 2: DFT formation energy -0.628 eV per atom. Number 3: DFT formation energy -0.492 eV per atom. Number 4: DFT formation energy -0.139 eV per atom. Number 5: DFT formation energy -0.647 eV per atom. Number 6: DFT formation energy -0.462 eV per atom. Number 7: DFT formation energy -0.478 eV per atom. Number 8: DFT formation energy -0.116 eV per atom.